This record from Alexandria describes a relaxed structure of Nb2CrPtC. The functional is PBE-GGA.

CIF file:
```
data_Nb2CrPtC
_cell_length_a 4.3087
_cell_length_b 4.3087
_cell_length_c 3.8390
_cell_angle_alpha 90.00
_cell_angle_beta 90.00
_cell_angle_gamma 90.00
_symmetry_space_group_name_H-M 'P 1'
_symmetry_Int_Tables_number 1
loop_
_symmetry_equiv_pos_as_xyz
'x,y,z'
loop_
_atom_site_label
_atom_site_fract_x
_atom_site_fract_y
_atom_site_fract_z
Cr1 0.0000 0.0000 0.5000
C1 0.0000 0.0000 0.0000
Pt1 0.5000 0.5000 0.5000
Nb1 0.5000 0.0000 0.0000
Nb2 0.0000 0.5000 0.0000
```

Values from the calculation:
Energy of formation ... -0.3257 eV/atom
Space group ... No. 123
Magnetization ... 0.00 μB per atom